Entry 1:
The following is a PBE calculation of a relaxed Cs3NdCd2Br9 crystal, from the Alexandria database.

Lattice parameters (Å, degrees): 8.2097 8.2097 10.0858 90.00 90.00 120.00
Element x y z (fractional)
Cs 0.3333 0.6667 0.6835
Cs 0.0000 0.0000 0.0000
Cs 0.6667 0.3333 0.3165
Nd 0.0000 0.0000 0.5000
Cd 0.3333 0.6667 0.1477
Cd 0.6667 0.3333 0.8523
Br 0.8332 0.1668 0.6644
Br 0.8332 0.6664 0.6644
Br 0.3336 0.1668 0.6644
Br 0.6664 0.8332 0.3356
Br 0.1668 0.3336 0.3356
Br 0.1668 0.8332 0.3356
Br 0.5000 0.0000 0.0000
Br 0.0000 0.5000 0.0000
Br 0.5000 0.5000 0.0000

ΔE_f (raw) in kJ/mol of formula units: -2103
Final energy in eV per atom: -3.067
Space group: P-3m1 (164)
Total magnetization in μB per formula unit: 0.00

=====

Entry 2:
The following is a PBE calculation of a relaxed Na3MgF4 crystal, from the Alexandria database.

Lattice parameters (Å, degrees): 4.6146 4.6146 6.3029 111.47 111.47 90.00
Element x y z (fractional)
Na 0.5000 0.5000 0.0000
Na 0.7500 0.2500 0.5000
Na 0.2500 0.7500 0.5000
Mg 0.0000 0.0000 0.0000
F 0.8151 0.8151 0.6302
F 0.1849 0.1849 0.3698
F 0.5000 0.0000 0.0000
F 0.0000 0.5000 0.0000

ΔE_f (raw) in kJ/mol of formula units: -1941
Final energy in eV per atom: -4.145
Space group: I4/mmm (139)
Total magnetization in μB per formula unit: 0.00

=====

Entry 3:
The following is a PBE calculation of a relaxed Rb3TlPd2F9 crystal, from the Alexandria database.

Lattice parameters (Å, degrees): 6.3101 6.3101 7.8557 90.00 90.00 120.00
Element x y z (fractional)
Rb 0.3333 0.6667 0.6760
Rb 0.0000 0.0000 0.0000
Rb 0.6667 0.3333 0.3240
Tl 0.0000 0.0000 0.5000
Pd 0.3333 0.6667 0.1503
Pd 0.6667 0.3333 0.8497
F 0.8245 0.1755 0.6908
F 0.8245 0.6489 0.6908
F 0.3511 0.1755 0.6908
F 0.6489 0.8245 0.3092
F 0.1755 0.3511 0.3092
F 0.1755 0.8245 0.3092
F 0.5000 0.0000 0.0000
F 0.0000 0.5000 0.0000
F 0.5000 0.5000 0.0000

ΔE_f (raw) in kJ/mol of formula units: -2853
Final energy in eV per atom: -4.138
Space group: P-3m1 (164)
Total magnetization in μB per formula unit: 0.00

=====

Entry 4:
The following is a PBE calculation of a relaxed Th8Se6S crystal, from the Alexandria database.

Lattice parameters (Å, degrees): 4.3242 10.4594 10.4594 120.00 90.00 90.00
Element x y z (fractional)
Th 0.7373 0.9656 0.2658
Th 0.7373 0.7342 0.6997
Th 0.7373 0.3003 0.0344
Th 0.2627 0.0344 0.7342
Th 0.2627 0.2658 0.3003
Th 0.2627 0.6997 0.9656
Th 0.7460 0.3333 0.6667
Th 0.2540 0.6667 0.3333
Se 0.7552 0.6315 0.1207
Se 0.7552 0.8793 0.5108
Se 0.7552 0.4892 0.3685
Se 0.2448 0.3685 0.8793
Se 0.2448 0.1207 0.4892
Se 0.2448 0.5108 0.6315
S 0.5000 0.0000 0.0000

ΔE_f (raw) in kJ/mol of formula units: -1568
Final energy in eV per atom: -6.710
Space group: P-3 (147)
Total magnetization in μB per formula unit: 0.00

=====

Entry 5:
The following is a PBE calculation of a relaxed CeDyNp2Se4 crystal, from the Alexandria database.

Lattice parameters (Å, degrees): 4.1187 7.1602 7.1062 109.41 90.00 90.00
Element x y z (fractional)
Ce 0.5000 0.5000 0.0000
Dy 0.0000 0.0000 0.0000
Np 0.5000 0.0000 0.5000
Np 0.0000 0.5000 0.5000
Se 0.5000 0.2456 0.2507
Se 0.5000 0.7544 0.7493
Se 0.0000 0.2435 0.7449
Se 0.0000 0.7565 0.2551

ΔE_f (raw) in kJ/mol of formula units: -1113
Final energy in eV per atom: -7.736
Space group: P2/m (10)
Total magnetization in μB per formula unit: 9.90

=====

Entry 6:
The following is a PBE calculation of a relaxed Nd4Th crystal, from the Alexandria database.

Lattice parameters (Å, degrees): 5.9592 5.9592 5.9592 90.00 90.00 90.00
Element x y z (fractional)
Nd 0.0000 0.0000 0.0000
Nd 0.5000 0.0000 0.5000
Nd 0.0000 0.5000 0.5000
Nd 0.5000 0.5000 0.0000
Th 0.5000 0.5000 0.5000

Final energy in eV per atom: -4.586
Excess energy over the best structure of this formula in the dataset in eV/f.u.: 3.43
Space group: Pm-3m (221)
E_form in eV per atom: 0.71
Total magnetization in μB per formula unit: 0.00

=====

Entry 7:
The following is a PBE calculation of a relaxed SrPuTl2O8 crystal, from the Alexandria database.

Lattice parameters (Å, degrees): 5.3311 5.3436 7.0701 87.09 87.27 92.34
Element x y z (fractional)
Sr 0.0000 0.0000 0.5000
Pu 0.0000 0.0000 0.0000
Tl 0.4911 0.4909 0.7538
Tl 0.5089 0.5091 0.2462
O 0.1654 0.8255 0.1978
O 0.6994 0.6998 0.0109
O 0.8265 0.1658 0.1969
O 0.8346 0.1745 0.8022
O 0.3006 0.3002 0.9891
O 0.1735 0.8342 0.8031
O 0.6763 0.6804 0.5199
O 0.3237 0.3196 0.4801

ΔE_f (raw) in kJ/mol of formula units: -1789
Final energy in eV per atom: -6.580
Space group: P-1 (2)
Total magnetization in μB per formula unit: 0.91

=====

Entry 8:
The following is a PBE calculation of a relaxed ErB2Rh4 crystal, from the Alexandria database.

Lattice parameters (Å, degrees): 5.5335 5.5335 7.9978 98.20 98.23 125.80
Element x y z (fractional)
B 0.7426 0.0434 0.5001
B 0.5431 0.2427 0.4999
B 0.2932 0.4924 0.0000
B 0.4927 0.2930 0.0000
Rh 0.6989 0.6987 0.6107
Rh 0.2714 0.2713 0.7570
Rh 0.0871 0.0869 0.3893
Rh 0.5212 0.0213 0.2569
Rh 0.7643 0.2645 0.7430
Rh 0.5145 0.5143 0.2431
Rh 0.9486 0.4488 0.1107
Rh 0.3368 0.8371 0.8893
Er 0.1431 0.6427 0.5000
Er 0.8926 0.8930 0.0000

Final energy in eV per atom: -7.372
Excess energy over the best structure of this formula in the dataset in eV/f.u.: 0.00
Space group: C2/c (15)
E_form in eV per atom: -0.61
Total magnetization in μB per formula unit: 0.00

=====

Entry 9:
The following is a PBE calculation of a relaxed Th5Au4 crystal, from the Alexandria database.

Lattice parameters (Å, degrees): 3.7290 8.1391 8.1391 86.99 76.76 76.76
Element x y z (fractional)
Th 0.6864 0.3136 0.3136
Th 0.3136 0.6864 0.6864
Th 0.0000 0.0000 0.0000
Th 0.0000 0.6864 0.3136
Th 0.0000 0.3136 0.6864
Au 0.6755 0.0000 0.6490
Au 0.3245 0.3510 0.0000
Au 0.3245 0.0000 0.3510
Au 0.6755 0.6490 0.0000

Final energy in eV per atom: -6.006
Space group: I4/mmm (139)
E_form in eV per atom: -0.43
Total magnetization in μB per formula unit: 0.49

=====

Entry 10:
The following is a PBE calculation of a relaxed Ba2Ni crystal, from the Alexandria database.

Lattice parameters (Å, degrees): 5.4315 5.4315 5.4315 60.00 60.00 60.00
Element x y z (fractional)
Ba 0.7500 0.7500 0.7500
Ba 0.2500 0.2500 0.2500
Ni 0.0000 0.0000 0.0000

Final energy in eV per atom: -3.092
Space group: Fm-3m (225)
E_form in eV per atom: 0.12
Total magnetization in μB per formula unit: 0.00

=====

Entry 11:
The following is a PBE calculation of a relaxed GaCuPd2Pb crystal, from the Alexandria database.

Lattice parameters (Å, degrees): 5.1247 5.2733 5.1247 90.00 90.00 90.00
Element x y z (fractional)
Pb 0.0000 0.0000 0.0000
Cu 0.5000 0.5000 0.5000
Ga 0.0000 0.5000 0.0000
Pd 0.0000 0.0000 0.5000
Pd 0.5000 0.0000 0.0000

Final energy in eV per atom: -3.251
Space group: P4/mmm (123)
E_form in eV per atom: 0.99
Total magnetization in μB per formula unit: 0.00

=====

Entry 12:
The following is a PBE calculation of a relaxed MgIn2TeSe crystal, from the Alexandria database.

Lattice parameters (Å, degrees): 5.8862 4.8887 5.8862 90.00 90.00 90.00
Element x y z (fractional)
Mg 0.0000 0.5000 0.0000
Te 0.5000 0.5000 0.5000
Se 0.0000 0.0000 0.0000
In 0.0000 0.0000 0.5000
In 0.5000 0.0000 0.0000

ΔE_f (raw) in kJ/mol of formula units: -30
Final energy in eV per atom: -2.801
Space group: P4/mmm (123)
Total magnetization in μB per formula unit: 0.00

=====

Entry 13:
The following is a PBE calculation of a relaxed Na2Ac2SiO6 crystal, from the Alexandria database.

Lattice parameters (Å, degrees): 6.0633 6.0633 5.8472 95.10 95.10 119.09
Element x y z (fractional)
Na 0.8784 0.1216 0.0000
Na 0.1216 0.8784 0.0000
Ac 0.3367 0.6633 0.5000
Ac 0.6633 0.3367 0.5000
Si 0.0000 0.0000 0.5000
O 0.7927 0.7927 0.6883
O 0.0275 0.2956 0.6768
O 0.2073 0.2073 0.3117
O 0.2956 0.0275 0.6768
O 0.9725 0.7044 0.3232
O 0.7044 0.9725 0.3232

ΔE_f (raw) in kJ/mol of formula units: -2583
Final energy in eV per atom: -6.618
Space group: C2/m (12)
Total magnetization in μB per formula unit: 0.00

=====

Entry 14:
The following is a PBE calculation of a relaxed PdPt3 crystal, from the Alexandria database.

Lattice parameters (Å, degrees): 2.7629 4.7246 4.7901 90.00 90.00 90.00
Element x y z (fractional)
Pd 0.0000 0.5000 0.3482
Pt 0.0000 0.0000 0.9842
Pt 0.5000 0.0000 0.4857
Pt 0.5000 0.5000 0.8485

Final energy in eV per atom: -5.816
Space group: Pmm2 (25)
E_form in eV per atom: 0.01
Total magnetization in μB per formula unit: 0.00

=====

Entry 15:
The following is a PBE calculation of a relaxed TaHgMo3 crystal, from the Alexandria database.

Lattice parameters (Å, degrees): 4.7882 4.7882 4.7882 90.00 90.00 90.00
Element x y z (fractional)
Mo 0.0000 0.5000 0.0000
Mo 0.0000 0.0000 0.5000
Mo 0.5000 0.0000 0.0000
Hg 0.5000 0.5000 0.5000
Ta 0.0000 0.0000 0.0000

Final energy in eV per atom: -7.166
Excess energy over the best structure of this formula in the dataset in eV/f.u.: 0.00
Space group: Pm-3m (221)
E_form in eV per atom: 1.76
Total magnetization in μB per formula unit: 0.00

=====

Entry 16:
The following is a PBE calculation of a relaxed KPa3Cd4O12 crystal, from the Alexandria database.

Lattice parameters (Å, degrees): 7.7023 7.7023 7.7023 108.38 108.38 108.38
Element x y z (fractional)
K 0.0000 0.0000 0.0000
Pa 0.5546 0.4454 0.0000
Pa 0.4454 0.0000 0.5546
Pa 0.0000 0.5546 0.4454
Cd 0.9456 0.0544 0.5000
Cd 0.0544 0.5000 0.9456
Cd 0.5000 0.9456 0.0544
Cd 0.5000 0.5000 0.5000
O 0.5000 0.3308 0.6692
O 0.8822 0.5000 0.1178
O 0.1178 0.8822 0.5000
O 0.5000 0.1178 0.8822
O 0.3505 0.9428 0.2476
O 0.2476 0.3505 0.9428
O 0.9428 0.2476 0.3505
O 0.6495 0.7524 0.0572
O 0.0572 0.6495 0.7524
O 0.7524 0.0572 0.6495
O 0.6692 0.5000 0.3308
O 0.3308 0.6692 0.5000

ΔE_f (raw) in kJ/mol of formula units: -4563
Final energy in eV per atom: -7.002
Space group: R32 (155)
Total magnetization in μB per formula unit: 0.00

=====

Entry 17:
The following is a PBE calculation of a relaxed Pr2Tm4In crystal, from the Alexandria database.

Lattice parameters (Å, degrees): 11.7809 6.4069 6.5358 117.25 90.00 90.00
Element x y z (fractional)
Pr 0.0180 0.6688 0.3168
Pr 0.9820 0.3312 0.6832
Pr 0.5180 0.8312 0.6832
Pr 0.4820 0.1688 0.3168
Tm 0.7301 0.8155 0.1529
Tm 0.8002 0.8262 0.6610
Tm 0.6998 0.3262 0.6610
Tm 0.7699 0.3155 0.1529
Tm 0.2301 0.6845 0.8471
Tm 0.3002 0.6738 0.3390
Tm 0.1998 0.1738 0.3390
Tm 0.2699 0.1845 0.8471
In 0.0000 0.0000 0.0000
In 0.5000 0.5000 0.0000

Final energy in eV per atom: -4.314
Excess energy over the best structure of this formula in the dataset in eV/f.u.: 0.16
Space group: P2_1/c (14)
E_form in eV per atom: 0.00
Total magnetization in μB per formula unit: 0.00

=====

Entry 18:
The following is a PBE calculation of a relaxed ZrCrAg2 crystal, from the Alexandria database.

Lattice parameters (Å, degrees): 4.7368 4.7368 4.7368 60.00 60.00 60.00
Element x y z (fractional)
Cr 0.0000 0.0000 0.0000
Zr 0.5000 0.5000 0.5000
Ag 0.2500 0.2500 0.2500
Ag 0.7500 0.7500 0.7500

Final energy in eV per atom: -5.715
Excess energy over the best structure of this formula in the dataset in eV/f.u.: 0.27
Space group: Fm-3m (225)
E_form in eV per atom: 0.25
Total magnetization in μB per formula unit: 4.50

=====

Entry 19:
The following is a PBE calculation of a relaxed Rb5Bi2Cl12 crystal, from the Alexandria database.

Lattice parameters (Å, degrees): 9.5507 9.8445 9.8445 70.56 68.22 68.22
Element x y z (fractional)
Rb 0.0381 0.2518 0.2518
Rb 0.4762 0.3483 0.3483
Rb 0.5000 0.0000 0.0000
Rb 0.5238 0.6517 0.6517
Rb 0.9619 0.7482 0.7482
Bi 0.0000 0.8070 0.1930
Bi 0.0000 0.1930 0.8070
Cl 0.8284 0.1196 0.1196
Cl 0.1919 0.1845 0.5315
Cl 0.1919 0.5315 0.1845
Cl 0.7901 0.1180 0.7354
Cl 0.7901 0.7354 0.1180
Cl 0.7220 0.4308 0.4308
Cl 0.2780 0.5692 0.5692
Cl 0.2099 0.8820 0.2646
Cl 0.2099 0.2646 0.8820
Cl 0.8081 0.8155 0.4685
Cl 0.8081 0.4685 0.8155
Cl 0.1716 0.8804 0.8804

ΔE_f (raw) in kJ/mol of formula units: -2545
Final energy in eV per atom: -3.218
Space group: C2/m (12)
Total magnetization in μB per formula unit: 1.12

=====

Entry 20:
The following is a PBE calculation of a relaxed ScAgRu2 crystal, from the Alexandria database.

Lattice parameters (Å, degrees): 2.8029 2.8029 9.0127 90.00 90.00 113.27
Element x y z (fractional)
Ag 0.5000 0.5000 0.7500
Ru 0.0000 0.0000 0.0137
Ru 0.0000 0.0000 0.4863
Sc 0.5000 0.5000 0.2500

Final energy in eV per atom: -6.736
Excess energy over the best structure of this formula in the dataset in eV/f.u.: 0.68
Space group: Cmmm (65)
E_form in eV per atom: 0.20
Total magnetization in μB per formula unit: 0.00